Below is a relaxed NaBe crystal, with properties calculated at the PBE-GGA level.

Values from the calculation:
The volume is 23.7 Å³ per atom. The value obtained for the formation energy is 1.2260 eV per atom.

The structure in extended XYZ format:
```
2
Lattice="0.0000 2.8728 2.8728 2.8728 0.0000 2.8728 2.8728 2.8728 0.0000" Properties=species:S:1:pos:R:3 pbc="T T T"
Na 0.0000 0.0000 0.0000
Be 2.8728 2.8728 2.8728
```

---

Below is a relaxed NaBe crystal, with properties calculated at the PBE-GGA level.

Values from the calculation:
The volume is 21.6 Å³ per atom. The value obtained for the formation energy is 0.6436 eV per atom.

The structure in extended XYZ format:
```
16
Lattice="5.7529 0.0000 0.0000 0.0000 6.9410 0.0000 0.0000 0.0000 8.6454" Properties=species:S:1:pos:R:3 pbc="T T T"
Na 0.3153 0.7866 0.0226
Na 0.7310 4.4220 1.1700
Na 2.1454 2.5190 5.4927
Na 2.5611 6.1544 4.3453
Na 3.1918 2.6839 8.6228
Na 3.6075 5.9895 7.4754
Na 5.0219 0.9515 3.1527
Na 5.4376 4.2571 4.3001
Be 0.2582 6.8872 5.8780
Be 0.8038 5.1650 6.8810
Be 2.0726 1.7761 2.5583
Be 2.6183 0.0538 1.5553
Be 3.1346 3.5243 2.7674
Be 3.6802 5.2466 1.7644
Be 4.9491 1.6944 6.0871
Be 5.4947 3.4167 7.0901
```

---

Below is a relaxed NaBe crystal, with properties calculated at the PBE-GGA level.

Values from the calculation:
The volume is 36.9 Å³ per atom. The value obtained for the formation energy is 0.8430 eV per atom.

The structure in extended XYZ format:
```
8
Lattice="-4.1956 4.1956 4.1956 4.1956 -4.1956 4.1956 4.1956 4.1956 -4.1956" Properties=species:S:1:pos:R:3 pbc="T T T"
Na 1.8119 1.8119 -1.8119
Na 1.8119 -1.8119 1.8119
Na -1.8119 1.8119 1.8119
Na 2.3836 2.3836 2.3836
Be 3.4704 3.4704 -3.4704
Be 3.4704 -3.4704 3.4704
Be 0.7251 0.7251 0.7251
Be -3.4704 3.4704 3.4704
```

---

Below is a relaxed NaBe crystal, with properties calculated at the PBE-GGA level.

Values from the calculation:
The volume is 22.4 Å³ per atom. The value obtained for the formation energy is 0.5480 eV per atom.

The structure in extended XYZ format:
```
12
Lattice="3.8963 0.0000 0.0000 0.0000 12.9857 0.0000 0.0000 0.0000 5.3177" Properties=species:S:1:pos:R:3 pbc="T T T"
Na 0.9741 0.6337 1.2194
Na 0.9741 5.8591 1.2194
Na 0.9741 9.7393 3.0410
Na 2.9222 3.2464 2.2767
Na 2.9222 7.1266 4.0983
Na 2.9222 12.3520 4.0983
Be 0.9741 3.2464 4.8627
Be 0.9741 8.7743 0.4262
Be 0.9741 10.7042 0.4262
Be 2.9222 2.2815 4.8915
Be 2.9222 4.2114 4.8915
Be 2.9222 9.7393 0.4549
```

---

Below is a relaxed NaBe crystal, with properties calculated at the PBE-GGA level.

Values from the calculation:
The volume is 17.7 Å³ per atom. The value obtained for the formation energy is 0.4655 eV per atom.

The structure in extended XYZ format:
```
8
Lattice="-5.0727 5.0727 1.3730 5.0727 -5.0727 1.3730 5.0727 5.0727 -1.3730" Properties=species:S:1:pos:R:3 pbc="T T T"
Na 1.5378 1.5378 0.0000
Na 3.5348 -3.5348 1.3730
Na -3.5348 3.5348 1.3730
Na 3.5348 3.5348 1.3730
Be 5.0727 1.1913 0.0000
Be 1.1913 5.0727 0.0000
Be 3.8814 0.0000 1.3730
Be 0.0000 3.8814 1.3730
```

---

Below is a relaxed NaBe crystal, with properties calculated at the PBE-GGA level.

Values from the calculation:
The volume is 20.3 Å³ per atom. The value obtained for the formation energy is 0.6382 eV per atom.

The structure in extended XYZ format:
```
12
Lattice="7.7546 0.0000 0.0000 -3.8773 6.7157 0.0000 0.0000 0.0000 4.6820" Properties=species:S:1:pos:R:3 pbc="T T T"
Na 0.0000 2.4526 1.1705
Na -1.7533 5.4894 1.1705
Na 2.1240 1.2263 3.5115
Na 1.7533 5.4894 1.1705
Na 5.6306 1.2263 3.5115
Na 3.8773 4.2631 3.5115
Be -1.0790 3.8542 3.5115
Be 1.0790 3.8542 3.5115
Be 0.0000 5.7231 3.5115
Be 3.8773 0.9926 1.1705
Be 2.7983 2.8615 1.1705
Be 4.9563 2.8615 1.1705
```

---

Below is a relaxed NaBe crystal, with properties calculated at the PBE-GGA level.

Values from the calculation:
The volume is 27.0 Å³ per atom. The value obtained for the formation energy is 0.6961 eV per atom.

The structure in extended XYZ format:
```
8
Lattice="-5.2451 5.2451 1.9664 5.2451 -5.2451 1.9664 5.2451 5.2451 -1.9664" Properties=species:S:1:pos:R:3 pbc="T T T"
Na 2.6726 0.0000 0.0000
Na 7.8176 0.0000 0.0000
Na 0.0000 2.6726 0.0000
Na 0.0000 7.8176 0.0000
Be 2.8229 2.8229 0.0000
Be 2.4222 -2.4222 1.9664
Be -2.4222 2.4222 1.9664
Be 2.4222 2.4222 1.9664
```

---

Below is a relaxed NaBe crystal, with properties calculated at the PBE-GGA level.

Values from the calculation:
The volume is 20.7 Å³ per atom. The value obtained for the formation energy is 0.4963 eV per atom.

The structure in extended XYZ format:
```
6
Lattice="2.9608 -5.3780 0.0000 2.9608 5.3780 0.0000 0.0000 0.0000 3.8983" Properties=species:S:1:pos:R:3 pbc="T T T"
Na 0.0000 0.0000 0.0000
Na 1.4804 2.6890 1.9492
Na 1.4804 -2.6890 1.9492
Be 2.9608 0.9779 0.0000
Be 2.9608 0.0000 1.9492
Be 2.9608 -0.9779 0.0000
```

---

These records have energy above the most stable polymorph in this dataset values of 0.761; 0.178; 0.378; 0.083; 0.000; 0.173; 0.231; 0.031 eV per atom, in the order they appear.
These records have M_tot values of 0.000; 0.000; 0.493; 0.000; 0.000; 0.000; 0.169; 0.000 μB/f.u., in the order they appear.